## w
# PBE K2NpCl5, optimized geometry
data_K2NpCl5
_chemical_formula_sum 'K8 Np4 Cl20'
_space_group_name_H-M_alt 'P n m a'
_space_group_IT_number 62
_cell_length_a 13.056
_cell_length_b 8.762
_cell_length_c 8.134
_cell_angle_alpha 90.00
_cell_angle_beta 90.00
_cell_angle_gamma 90.00
loop_
_space_group_symop_operation_xyz
'x,y,z'
'-x,-y,-z'
'-x+1/2,-y,z+1/2'
'x+1/2,y,-z+1/2'
'x+1/2,-y+1/2,-z+1/2'
'-x+1/2,y+1/2,z+1/2'
'-x,y+1/2,-z'
'x,-y+1/2,z'
loop_
_atom_site_label
_atom_site_type_symbol
_atom_site_fract_x
_atom_site_fract_y
_atom_site_fract_z
K1 K 0.171 0.003 0.045
Np1 Np 0.003 0.250 0.567
Cl1 Cl 0.008 0.250 0.915
Cl2 Cl 0.080 0.540 0.660
Cl3 Cl 0.176 0.250 0.370
Cl4 Cl 0.201 0.750 0.335
# Density   3515 kg/m3
# Magnetic moment   16.00 Bohr magnetons per cell



## x
# PBE K2NpCl5, optimized geometry
data_K2NpCl5
_chemical_formula_sum 'K4 Np2 Cl10'
_space_group_name_H-M_alt 'C 1 m 1'
_space_group_IT_number 8
_cell_length_a 14.268
_cell_length_b 8.158
_cell_length_c 8.071
_cell_angle_alpha 90.00
_cell_angle_beta 123.78
_cell_angle_gamma 90.00
loop_
_space_group_symop_operation_xyz
'x,y,z'
'x,-y,z'
'x+1/2,y+1/2,z'
'x+1/2,-y+1/2,z'
loop_
_atom_site_label
_atom_site_type_symbol
_atom_site_fract_x
_atom_site_fract_y
_atom_site_fract_z
K1 K 0.000 0.000 0.000
K2 K 0.000 0.500 0.497
Np1 Np 0.338 0.000 0.835
Cl1 Cl 0.120 0.000 0.617
Cl2 Cl 0.399 0.229 0.671
Cl3 Cl 0.400 0.226 0.124
# Density   2094 kg/m3
# Magnetic moment   8.00 Bohr magnetons per cell



Most stable one: w, least stable one: x.



## w
# PBE K7Cl3O2, optimized geometry
data_K7Cl3O2
_chemical_formula_sum 'K14 Cl6 O4'
_space_group_name_H-M_alt 'I 4/m m m'
_space_group_IT_number 139
_space_group_name_Hall '-I 4 2'
_cell_length_a 5.195
_cell_length_b 5.195
_cell_length_c 26.404
_cell_angle_alpha 90.00
_cell_angle_beta 90.00
_cell_angle_gamma 90.00
loop_
_atom_site_label
_atom_site_type_symbol
_atom_site_fract_x
_atom_site_fract_y
_atom_site_fract_z
K1 K 0.000 0.000 0.000
K2 K 0.000 0.000 0.196
K3 K 0.000 0.500 0.098
Cl1 Cl 0.000 0.000 0.316
Cl2 Cl 0.000 0.000 0.500
O1 O 0.000 0.000 0.100
# Density   1921 kg/m3
# Magnetic moment   0.00 Bohr magnetons per cell



## x
# PBE K7Cl3O2, optimized geometry
data_K7Cl3O2
_chemical_formula_sum 'K14 Cl6 O4'
_space_group_name_H-M_alt 'C m m m'
_space_group_IT_number 65
_space_group_name_Hall '-C 2 2'
_cell_length_a 5.260
_cell_length_b 26.146
_cell_length_c 5.095
_cell_angle_alpha 90.00
_cell_angle_beta 90.00
_cell_angle_gamma 90.00
loop_
_atom_site_label
_atom_site_type_symbol
_atom_site_fract_x
_atom_site_fract_y
_atom_site_fract_z
K1 K 0.000 0.000 0.000
K2 K 0.000 0.100 0.500
K3 K 0.000 0.196 0.000
K4 K 0.000 0.402 0.000
Cl1 Cl 0.000 0.315 0.500
Cl2 Cl 0.000 0.500 0.500
O1 O 0.000 0.101 0.000
# Density   1953 kg/m3
# Magnetic moment   0.00 Bohr magnetons per cell



Most stable one: w, least stable one: x.